[1]
Crystalline KNa2CoSb at its relaxed geometry, computed with GGA-PBE.

Computed properties:
V = 173 Å³/f.u.
ΔE_f (raw) = 88 kJ/mol of formula units
energy above the lowest structure with this stoichiometry = 0.0 meV per atom
SG = P4/mmm, No. 123

```
data_KNa2CoSb
_cell_length_a 5.949
_cell_length_b 4.878
_cell_length_c 5.949
_cell_angle_alpha 90.00
_cell_angle_beta 90.00
_cell_angle_gamma 90.00
_symmetry_space_group_name_H-M 'P 1'
_symmetry_Int_Tables_number 1
_symmetry_space_group_name_Hall 'P 1'
loop_
_atom_site_label
_atom_site_fract_x
_atom_site_fract_y
_atom_site_fract_z
Na1 0.000 0.000 0.500
K1 0.500 0.500 0.500
Sb1 0.000 0.000 0.000
Na2 0.500 0.000 0.000
Co1 0.000 0.500 0.000
```

***

[2]
Crystalline K2NbCo at its relaxed geometry, computed with GGA-PBE.

Computed properties:
energy of formation from the pure elements = 2228 meV/atom
V = 108 Å³/f.u.
energy above the lowest structure with this stoichiometry = 974.1 meV per atom
SG = Fm-3m, No. 225

```
data_K2NbCo
_cell_length_a 5.349
_cell_length_b 5.349
_cell_length_c 5.349
_cell_angle_alpha 60.00
_cell_angle_beta 60.00
_cell_angle_gamma 60.00
_symmetry_space_group_name_H-M 'P 1'
_symmetry_Int_Tables_number 1
_symmetry_space_group_name_Hall 'P 1'
loop_
_atom_site_label
_atom_site_fract_x
_atom_site_fract_y
_atom_site_fract_z
K1 0.250 0.250 0.250
Nb1 0.500 0.500 0.500
K2 0.750 0.750 0.750
Co1 0.000 0.000 0.000
```

***

[3]
Crystalline KNbCo3 at its relaxed geometry, computed with GGA-PBE.

Computed properties:
energy of formation from the pure elements = 1284 meV/atom
V = 102 Å³/f.u.
energy above the lowest structure with this stoichiometry = 0.0 meV per atom
SG = Pm-3m, No. 221

```
data_KNbCo3
_cell_length_a 4.671
_cell_length_b 4.671
_cell_length_c 4.671
_cell_angle_alpha 90.00
_cell_angle_beta 90.00
_cell_angle_gamma 90.00
_symmetry_space_group_name_H-M 'P 1'
_symmetry_Int_Tables_number 1
_symmetry_space_group_name_Hall 'P 1'
loop_
_atom_site_label
_atom_site_fract_x
_atom_site_fract_y
_atom_site_fract_z
Co1 0.000 0.500 0.000
K1 0.500 0.500 0.500
Co2 0.000 0.000 0.500
Nb1 0.000 0.000 0.000
Co3 0.500 0.000 0.000
```

***

[4]
Crystalline K2NbCo at its relaxed geometry, computed with GGA-PBE.

Computed properties:
energy of formation from the pure elements = 1254 meV/atom
V = 176 Å³/f.u.
energy above the lowest structure with this stoichiometry = 0.0 meV per atom
SG = I-42d, No. 122

```
data_K2NbCo
_cell_length_a 12.504
_cell_length_b 12.504
_cell_length_c 9.124
_cell_angle_alpha 46.75
_cell_angle_beta 46.75
_cell_angle_gamma 90.00
_symmetry_space_group_name_H-M 'P 1'
_symmetry_Int_Tables_number 1
_symmetry_space_group_name_Hall 'P 1'
loop_
_atom_site_label
_atom_site_fract_x
_atom_site_fract_y
_atom_site_fract_z
Nb1 0.750 0.250 0.500
K1 0.289 0.625 0.250
Nb2 0.000 0.000 0.000
K2 0.875 0.711 0.750
K3 0.461 0.125 0.250
Co1 0.500 0.500 0.000
Co2 0.250 0.750 0.500
K4 0.375 0.539 0.750
```

***

[5]
Crystalline KNbCo3 at its relaxed geometry, computed with GGA-PBE.

Computed properties:
energy of formation from the pure elements = 2356 meV/atom
V = 78 Å³/f.u.
energy above the lowest structure with this stoichiometry = 1071.6 meV per atom
SG = Pm-3m, No. 221

```
data_KNbCo3
_cell_length_a 4.275
_cell_length_b 4.275
_cell_length_c 4.275
_cell_angle_alpha 90.00
_cell_angle_beta 90.00
_cell_angle_gamma 90.00
_symmetry_space_group_name_H-M 'P 1'
_symmetry_Int_Tables_number 1
_symmetry_space_group_name_Hall 'P 1'
loop_
_atom_site_label
_atom_site_fract_x
_atom_site_fract_y
_atom_site_fract_z
K1 0.000 0.000 0.000
Co1 0.000 0.500 0.000
Co2 0.500 0.000 0.000
Nb1 0.500 0.500 0.500
Co3 0.000 0.000 0.500
```

***

[6]
Crystalline KNb2CoPd at its relaxed geometry, computed with GGA-PBE.

Computed properties:
energy of formation from the pure elements = 2442 meV/atom
V = 89 Å³/f.u.
SG = P4/mmm, No. 123

```
data_KNb2CoPd
_cell_length_a 4.618
_cell_length_b 4.185
_cell_length_c 4.618
_cell_angle_alpha 90.00
_cell_angle_beta 90.00
_cell_angle_gamma 90.00
_symmetry_space_group_name_H-M 'P 1'
_symmetry_Int_Tables_number 1
_symmetry_space_group_name_Hall 'P 1'
loop_
_atom_site_label
_atom_site_fract_x
_atom_site_fract_y
_atom_site_fract_z
Co1 0.000 0.500 0.000
Pd1 0.500 0.500 0.500
Nb1 0.000 0.000 0.500
Nb2 0.500 0.000 0.000
K1 0.000 0.000 0.000
```

***

[7]
Crystalline KRbNbCo2 at its relaxed geometry, computed with GGA-PBE.

Computed properties:
energy of formation from the pure elements = 2630 meV/atom
V = 114 Å³/f.u.
SG = P4/mmm, No. 123

```
data_KRbNbCo2
_cell_length_a 4.721
_cell_length_b 5.134
_cell_length_c 4.721
_cell_angle_alpha 90.00
_cell_angle_beta 90.00
_cell_angle_gamma 90.00
_symmetry_space_group_name_H-M 'P 1'
_symmetry_Int_Tables_number 1
_symmetry_space_group_name_Hall 'P 1'
loop_
_atom_site_label
_atom_site_fract_x
_atom_site_fract_y
_atom_site_fract_z
Rb1 0.000 0.000 0.000
K1 0.000 0.500 0.000
Nb1 0.500 0.500 0.500
Co1 0.500 0.000 0.000
Co2 0.000 0.000 0.500
```

***

[8]
Crystalline K2Nb2CoSe6 at its relaxed geometry, computed with GGA-PBE.

Computed properties:
V = 279 Å³/f.u.
ΔE_f (raw) = -807 kJ/mol of formula units
SG = C2/m, No. 12

```
data_K2Nb2CoSe6
_cell_length_a 6.340
_cell_length_b 6.340
_cell_length_c 8.216
_cell_angle_alpha 96.67
_cell_angle_beta 96.67
_cell_angle_gamma 119.73
_symmetry_space_group_name_H-M 'P 1'
_symmetry_Int_Tables_number 1
_symmetry_space_group_name_Hall 'P 1'
loop_
_atom_site_label
_atom_site_fract_x
_atom_site_fract_y
_atom_site_fract_z
Nb1 0.364 0.636 0.500
Co1 0.000 0.000 0.500
Se1 0.735 0.735 0.719
Se2 0.038 0.365 0.672
K1 0.813 0.187 0.000
Se3 0.962 0.635 0.328
Se4 0.365 0.038 0.672
Se5 0.635 0.962 0.328
Nb2 0.636 0.364 0.500
Se6 0.265 0.265 0.281
K2 0.187 0.813 0.000
```

***

[9]
Crystalline KSrNbCo2 at its relaxed geometry, computed with GGA-PBE.

Computed properties:
energy of formation from the pure elements = 2199 meV/atom
V = 116 Å³/f.u.
SG = P4/mmm, No. 123

```
data_KSrNbCo2
_cell_length_a 4.744
_cell_length_b 5.167
_cell_length_c 4.744
_cell_angle_alpha 90.00
_cell_angle_beta 90.00
_cell_angle_gamma 90.00
_symmetry_space_group_name_H-M 'P 1'
_symmetry_Int_Tables_number 1
_symmetry_space_group_name_Hall 'P 1'
loop_
_atom_site_label
_atom_site_fract_x
_atom_site_fract_y
_atom_site_fract_z
Co1 0.000 0.000 0.500
Sr1 0.000 0.500 0.000
K1 0.000 0.000 0.000
Nb1 0.500 0.500 0.500
Co2 0.500 0.000 0.000
```

***

[10]
Crystalline K2TaNbCo at its relaxed geometry, computed with GGA-PBE.

Computed properties:
energy of formation from the pure elements = 2194 meV/atom
V = 131 Å³/f.u.
SG = P4/mmm, No. 123

```
data_K2TaNbCo
_cell_length_a 5.223
_cell_length_b 4.786
_cell_length_c 5.223
_cell_angle_alpha 90.00
_cell_angle_beta 90.00
_cell_angle_gamma 90.00
_symmetry_space_group_name_H-M 'P 1'
_symmetry_Int_Tables_number 1
_symmetry_space_group_name_Hall 'P 1'
loop_
_atom_site_label
_atom_site_fract_x
_atom_site_fract_y
_atom_site_fract_z
K1 0.000 0.000 0.500
K2 0.500 0.000 0.000
Co1 0.000 0.000 0.000
Ta1 0.500 0.500 0.500
Nb1 0.000 0.500 0.000
```

***

[11]
Crystalline KTiNb2Co at its relaxed geometry, computed with GGA-PBE.

Computed properties:
energy of formation from the pure elements = 1406 meV/atom
V = 113 Å³/f.u.
SG = P4/mmm, No. 123

```
data_KTiNb2Co
_cell_length_a 4.636
_cell_length_b 4.636
_cell_length_c 5.249
_cell_angle_alpha 90.00
_cell_angle_beta 90.00
_cell_angle_gamma 90.00
_symmetry_space_group_name_H-M 'P 1'
_symmetry_Int_Tables_number 1
_symmetry_space_group_name_Hall 'P 1'
loop_
_atom_site_label
_atom_site_fract_x
_atom_site_fract_y
_atom_site_fract_z
Nb1 0.500 0.000 0.000
Nb2 0.000 0.500 0.000
K1 0.000 0.000 0.500
Co1 0.000 0.000 0.000
Ti1 0.500 0.500 0.500
```

***

[12]
Crystalline KNbZn2Co at its relaxed geometry, computed with GGA-PBE.

Computed properties:
energy of formation from the pure elements = 1720 meV/atom
V = 179 Å³/f.u.
SG = P4/mmm, No. 123

```
data_KNbZn2Co
_cell_length_a 5.264
_cell_length_b 6.444
_cell_length_c 5.264
_cell_angle_alpha 90.00
_cell_angle_beta 90.00
_cell_angle_gamma 90.00
_symmetry_space_group_name_H-M 'P 1'
_symmetry_Int_Tables_number 1
_symmetry_space_group_name_Hall 'P 1'
loop_
_atom_site_label
_atom_site_fract_x
_atom_site_fract_y
_atom_site_fract_z
Zn1 0.000 0.000 0.500
Zn2 0.500 0.000 0.000
Co1 0.500 0.500 0.500
K1 0.000 0.500 0.000
Nb1 0.000 0.000 0.000
```

***

DOS(E_F) list, top to bottom, in states/eV per atom: 0.823, 3.123, 0.690, 2.023, 2.233, 1.308, 2.017, 0.225, 1.779, 1.570, 1.693, 1.449